No. 1
# TaGe2W

TaGe2W after structural relaxation (PBE-GGA, Alexandria via LeMat-Bulk).

Cell lengths 3.7452, 6.4029, 6.2661 Å; angles 99.38, 107.39, 90.00 degrees
With the nearest neighbours (Å) after each atom.
Element x y z (fractional)
1 Ta 0.7508 0.2500 0.0000  6 Ge 2.63
2 Ta 0.2492 0.7500 0.0000  6 Ge 2.63
3 Ge 0.8784 0.6259 0.2575  3 W 2.58, 3 Ta 2.63
4 Ge 0.3791 0.1259 0.2575  3 W 2.58, 3 Ta 2.63
5 Ge 0.6209 0.8741 0.7425  3 W 2.58, 3 Ta 2.63
6 Ge 0.1216 0.3741 0.7425  3 W 2.58, 3 Ta 2.63
7 W 0.0000 0.0000 0.5000  6 Ge 2.58
8 W 0.5000 0.5000 0.5000  6 Ge 2.58

Calculated values
crystal system = monoclinic
energy above the lowest structure with this stoichiometry = 0.2913 eV per atom
ΔE_f = 481 meV per atom

=====

No. 2
# TaGeW

TaGeW after structural relaxation (PBE-GGA, Alexandria via LeMat-Bulk).

Cell lengths 2.7697, 4.5867, 4.5867 Å; angles 120.00, 90.00, 90.00 degrees
With the nearest neighbours (Å) after each atom.
Element x y z (fractional)
1 Ge 0.1914 0.6667 0.3333  3 W 2.65, 2 Ge 2.77, 3 Ta 2.90
2 W 0.1898 0.0000 0.0000  3 Ge 2.65, 2 W 2.77, 3 Ta 2.90
3 Ta 0.6188 0.3333 0.6667  2 Ta 2.77, 6 Ge 2.90-3.09, 6 W 2.90-3.08

Calculated values
crystal system = trigonal
energy above the lowest structure with this stoichiometry = 0.0000 eV per atom
ΔE_f = 99 meV per atom

=====

No. 3
# TaGe2W

TaGe2W after structural relaxation (PBE-GGA, Alexandria via LeMat-Bulk).

Cell lengths 4.4911, 4.4911, 4.4911 Å; angles 60.00, 60.00, 60.00 degrees
With the nearest neighbours (Å) after each atom.
Element x y z (fractional)
1 Ge 0.2500 0.2500 0.2500  4 Ta 2.75, 4 W 2.75
2 Ge 0.7500 0.7500 0.7500  4 W 2.75, 4 Ta 2.75
3 W 0.5000 0.5000 0.5000  8 Ge 2.75
4 Ta 0.0000 0.0000 0.0000  8 Ge 2.75

Calculated values
crystal system = cubic
energy above the lowest structure with this stoichiometry = 0.0000 eV per atom
ΔE_f = 190 meV per atom

=====

No. 4
# TaGe3W

TaGe3W after structural relaxation (PBE-GGA, Alexandria via LeMat-Bulk).

Cell lengths 4.9677, 4.9677, 4.9677 Å; angles 90.00, 90.00, 90.00 degrees
With the nearest neighbours (Å) after each atom.
Element x y z (fractional)
1 Ge 0.0000 0.5000 0.0000  2 Ta 2.48
2 Ge 0.0000 0.0000 0.5000  2 Ta 2.48
3 Ge 0.5000 0.0000 0.0000  2 Ta 2.48
4 W 0.5000 0.5000 0.5000  12 Ge 3.51
5 Ta 0.0000 0.0000 0.0000  6 Ge 2.48

Calculated values
crystal system = cubic
energy above the lowest structure with this stoichiometry = 0.1815 eV per atom
ΔE_f = 1487 meV per atom